a) A plane-wave DFT calculation with GGA-PBE was carried out for a geometry-optimized LiMn2Ir structure.

The volume comes out at 13.586 Å³ per atom. As for the crystal system: tetragonal. The calculation puts the total magnetization at 2.1 μB/cell.

The space group is P4mm (No. 99) and the conventional cell measures 2.658, 2.658 and 7.693 Å, with angles of 90.00, 90.00 and 90.00 degrees. Symmetry generates all atoms from Li at (0.000, 0.000, 0.000), Mn at (0.000, 0.000, 0.517), Mn at (0.500, 0.500, 0.292) and Ir at (0.500, 0.500, 0.739).



b) A plane-wave DFT calculation with GGA-PBE was carried out for a geometry-optimized LiMn2Ir structure.

The volume comes out at 11.461 Å³ per atom. As for the crystal system: tetragonal. The calculation puts the total magnetization at 0.0 μB/cell.

The space group is P4/mmm (No. 123) and the conventional cell measures 2.930, 2.930 and 5.338 Å, with angles of 90.00, 90.00 and 90.00 degrees. Symmetry generates all atoms from Li at (0.000, 0.000, 0.000), Mn at (0.500, 0.500, 0.202) and Ir at (0.000, 0.000, 0.500).



Going by the computed energies, the most stable comes first: a), b).



a) A plane-wave DFT calculation with GGA-PBE was carried out for a geometry-optimized Li2MnIr structure.

The volume comes out at 15.323 Å³ per atom. As for the crystal system: orthorhombic. The calculation puts the total magnetization at 8.0 μB/cell.

The space group is Cmm2 (No. 35) and the conventional cell measures 2.911, 4.605 and 9.147 Å, with angles of 90.00, 90.00 and 90.00 degrees. Symmetry generates all atoms from Li at (0.000, 0.000, 0.000), Li at (0.000, 0.500, 0.289), Mn at (0.000, 0.500, 0.749) and Ir at (0.000, 0.000, 0.522).



b) A plane-wave DFT calculation with GGA-PBE was carried out for a geometry-optimized Li2MnIr structure.

The volume comes out at 14.132 Å³ per atom. As for the crystal system: tetragonal. The calculation puts the total magnetization at 1.5 μB/cell.

The space group is P4mm (No. 99) and the conventional cell measures 2.796, 2.796 and 7.231 Å, with angles of 90.00, 90.00 and 90.00 degrees. Symmetry generates all atoms from Li at (0.000, 0.000, 0.000), Li at (0.500, 0.500, 0.289), Mn at (0.000, 0.000, 0.544) and Ir at (0.500, 0.500, 0.750).



Going by the computed energies, the most stable comes first: b), a).



a) A plane-wave DFT calculation with GGA-PBE was carried out for a geometry-optimized Li2MnIr structure.

The volume comes out at 13.445 Å³ per atom. As for the crystal system: tetragonal. The calculation puts the total magnetization at 4.2 μB/cell.

The space group is P4/mmm (No. 123) and the conventional cell measures 3.199, 3.199 and 5.254 Å, with angles of 90.00, 90.00 and 90.00 degrees. Symmetry generates all atoms from Li at (0.000, 0.000, 0.227), Mn at (0.500, 0.500, 0.500) and Ir at (0.500, 0.500, 0.000).



b) A plane-wave DFT calculation with GGA-PBE was carried out for a geometry-optimized Li2MnIr structure.

The volume comes out at 14.675 Å³ per atom. As for the crystal system: tetragonal. The calculation puts the total magnetization at 3.9 μB/cell.

The space group is P4/mmm (No. 123) and the conventional cell measures 2.622, 2.622 and 8.536 Å, with angles of 90.00, 90.00 and 90.00 degrees. Symmetry generates all atoms from Li at (0.000, 0.000, 0.230), Mn at (0.500, 0.500, 0.500) and Ir at (0.500, 0.500, 0.000).



Going by the computed energies, the most stable comes first: a), b).



a) A plane-wave DFT calculation with GGA-PBE was carried out for a geometry-optimized Li2MnIr structure.

The volume comes out at 13.912 Å³ per atom. As for the crystal system: orthorhombic. The calculation puts the total magnetization at 5.8 μB/cell.

The space group is Cmmm (No. 65) and the conventional cell measures 2.736, 4.458 and 9.126 Å, with angles of 90.00, 90.00 and 90.00 degrees. Symmetry generates all atoms from Li at (0.000, 0.000, 0.240), Mn at (0.000, 0.500, 0.500) and Ir at (0.000, 0.500, 0.000).



b) A plane-wave DFT calculation with GGA-PBE was carried out for a geometry-optimized Li2MnIr structure.

The volume comes out at 13.601 Å³ per atom. As for the crystal system: tetragonal. The calculation puts the total magnetization at 0.0 μB/cell.

The space group is I-42d (No. 122) and the conventional cell measures 3.429, 3.429 and 18.507 Å, with angles of 90.00, 90.00 and 90.00 degrees. Symmetry generates all atoms from Li at (0.249, 0.250, 0.125), Mn at (0.000, 0.000, 0.500) and Ir at (0.000, 0.000, 0.000).



Going by the computed energies, the most stable comes first: a), b).